No. 1
# Pa2AlSi2Os5

A geometry-optimized Pa2AlSi2Os5 structure (GGA-PBE, the Alexandria database).

Space-group type = P4/mbm
Energy relative to the elements, uncorrected = -0.425 eV/atom

POSCAR file:
```
Pa2AlSi2Os5
1.0
-2.491 -1.221 1.830
3.199 -9.259 -1.823
5.769 0.396 8.115
Pa Al Si Os
4 2 4 10
direct
0.000 0.675 0.175 Pa
0.000 0.325 0.825 Pa
0.000 0.175 0.325 Pa
0.000 0.825 0.675 Pa
0.000 0.000 0.000 Al
0.000 0.500 0.500 Al
0.000 0.124 0.624 Si
0.000 0.876 0.376 Si
0.000 0.624 0.876 Si
0.000 0.376 0.124 Si
0.500 0.209 0.067 Os
0.500 0.791 0.933 Os
0.500 0.067 0.791 Os
0.500 0.709 0.433 Os
0.500 0.933 0.209 Os
0.500 0.291 0.567 Os
0.500 0.567 0.709 Os
0.500 0.433 0.291 Os
0.500 0.500 0.000 Os
0.500 0.000 0.500 Os
```

=====

No. 2
# TaNiIr

A geometry-optimized TaNiIr structure (GGA-PBE, the Alexandria database).

Energy of formation from the pure elements = -0.48 eV/atom
Space-group type = C2/m
E above lowest polymorph = 0.004 eV per atom

POSCAR file:
```
TaNiIr
1.0
5.393 0.000 -0.003
0.000 3.950 0.000
-2.210 0.000 8.245
Ta Ni Ir
4 4 4
direct
0.807 0.000 0.645 Ta
0.193 0.000 0.355 Ta
0.807 0.500 0.145 Ta
0.193 0.500 0.855 Ta
0.000 0.000 0.000 Ni
0.000 0.500 0.500 Ni
0.500 0.500 0.500 Ni
0.500 0.000 0.000 Ni
0.689 0.000 0.325 Ir
0.311 0.000 0.675 Ir
0.689 0.500 0.825 Ir
0.311 0.500 0.175 Ir
```

=====

No. 3
# Ca2ScBr

A geometry-optimized Ca2ScBr structure (GGA-PBE, the Alexandria database).

Space-group type = F-43m
E above lowest polymorph = 0.675 eV per atom
Energy relative to the elements, uncorrected = 0.113 eV/atom

POSCAR file:
```
Ca2ScBr
1.0
5.715 0.000 0.000
2.858 4.950 0.000
2.858 1.650 4.667
Sc Ca Br
1 2 1
direct
0.750 0.750 0.750 Sc
0.000 0.000 0.000 Ca
0.250 0.250 0.250 Ca
0.500 0.500 0.500 Br
```

=====

No. 4
# CrAsRu2

A geometry-optimized CrAsRu2 structure (GGA-PBE, the Alexandria database).

Energy of formation from the pure elements = -0.01 eV/atom
Space-group type = P4/mmm

POSCAR file:
```
CrAsRu2
1.0
-1.971 2.848 -2.459
-3.729 -1.850 0.846
-0.366 1.851 2.436
As Cr Ru
1 1 2
direct
0.500 0.000 0.500 As
0.000 0.500 0.500 Cr
0.000 0.000 0.000 Ru
0.500 0.500 0.000 Ru
```

=====

No. 5
# Fe2AgTe

A geometry-optimized Fe2AgTe structure (GGA-PBE, the Alexandria database).

Space-group type = P4/mmm
Energy relative to the elements, uncorrected = 0.479 eV/atom

POSCAR file:
```
Fe2AgTe
1.0
3.385 0.004 0.000
-0.004 3.385 0.000
0.000 0.000 5.790
Ag Fe Te
1 2 1
direct
0.500 0.500 0.750 Ag
0.000 0.000 0.018 Fe
0.000 0.000 0.482 Fe
0.500 0.500 0.250 Te
```

=====

No. 6
# Ta4CrOs

A geometry-optimized Ta4CrOs structure (GGA-PBE, the Alexandria database).

Energy of formation from the pure elements = 0.30 eV/atom
Space-group type = P4/mmm
E above lowest polymorph = 0.000 eV per atom

POSCAR file:
```
Ta4CrOs
1.0
-0.335 4.046 -1.454
-3.842 -0.937 -1.722
-2.762 1.660 5.249
Ta Cr Os
4 1 1
direct
0.501 0.997 0.257 Ta
0.501 0.998 0.740 Ta
0.001 0.498 0.740 Ta
0.001 0.497 0.257 Ta
0.001 0.997 0.498 Cr
0.501 0.497 0.998 Os
```

=====

No. 7
# TaAlCuPt

A geometry-optimized TaAlCuPt structure (GGA-PBE, the Alexandria database).

Energy of formation from the pure elements = -0.41 eV/atom
Space-group type = F-43m

POSCAR file:
```
TaAlCuPt
1.0
4.425 0.000 0.000
2.213 3.833 0.000
2.213 1.278 3.613
Al Cu Pt Ta
1 1 1 1
direct
0.000 0.000 0.000 Al
0.250 0.250 0.250 Cu
0.750 0.750 0.750 Pt
0.500 0.500 0.500 Ta
```

=====

No. 8
# Ba2Tl3Pd2

A geometry-optimized Ba2Tl3Pd2 structure (GGA-PBE, the Alexandria database).

Energy of formation from the pure elements = -0.42 eV/atom
Space-group type = C2/m

POSCAR file:
```
Ba2Tl3Pd2
1.0
4.666 0.000 0.000
-2.333 5.819 -0.406
0.000 -3.209 7.699
Ba Tl Pd
2 3 2
direct
0.859 0.718 0.228 Ba
0.141 0.282 0.772 Ba
0.500 0.000 0.000 Tl
0.638 0.276 0.443 Tl
0.362 0.724 0.557 Tl
0.870 0.740 0.800 Pd
0.130 0.260 0.200 Pd
```

=====

It is found that the final energy values, taken in the order of the records, are -9.3978 -9.3126 -2.8890 -8.2112 -5.2504 -11.0724 -6.8389 -3.4664 eV per atom.